A plane-wave DFT calculation with PBE with a Hubbard U was carried out for Rb2Tl2CrF6 after structural relaxation.

- total moment (Bohr magnetons per cell) = 4.00
- raw total energy (eV for the cell shown) = -50.86

Unit cell a=6.681 b=6.681 c=6.589 alpha=97.83 beta=97.83 gamma=117.85
Fractional positions:
Rb 0.344 0.656 0.500
Tl 0.160 0.840 0.000
F 0.699 0.957 0.327
Tl 0.840 0.160 0.000
F 0.957 0.699 0.327
F 0.301 0.043 0.673
F 0.201 0.201 0.232
F 0.799 0.799 0.768
Rb 0.656 0.344 0.500
F 0.043 0.301 0.673
Cr 0.000 0.000 0.500